A plane-wave DFT calculation with PBE-GGA was carried out for crystalline InGeAu at its relaxed geometry.

Unit cell a=3.951 b=4.237 c=8.097 alpha=74.88 beta=89.70 gamma=89.56
Space group P1 (No. 1)
Symmetry-distinct sites (fractional):
In  0.000  0.000  0.000 [1 per cell]
In  0.500  0.366  0.267 [1 per cell]
Ge  0.247  0.380  0.634 [1 per cell]
Ge  0.750  0.987  0.634 [1 per cell]
Au  0.500  0.548  0.903 [1 per cell]
Au  0.999  0.818  0.363 [1 per cell]

Calculated values
- N(E_F) (states/eV per cell) = 2.3
- energy of formation from the pure elements (eV/atom) = -0.01

***

A plane-wave DFT calculation with PBE-GGA was carried out for crystalline InGeAu6 at its relaxed geometry.

Unit cell a=4.261 b=4.261 c=8.240 alpha=90.00 beta=90.00 gamma=90.00
Space group P4/mmm (No. 123)
Symmetry-distinct sites (fractional):
In  0.000  0.000  0.000 [1 per cell]
Ge  0.000  0.000  0.500 [1 per cell]
Au  0.000  0.500  0.254 [4 per cell]
Au  0.500  0.500  0.000 [1 per cell]
Au  0.500  0.500  0.500 [1 per cell]

Calculated values
- N(E_F) (states/eV per cell) = 3.9
- excess energy over the best structure of this formula in the dataset (meV per atom) = 38
- energy of formation from the pure elements (eV/atom) = 0.00

***

A plane-wave DFT calculation with PBE-GGA was carried out for crystalline InGe2Au at its relaxed geometry.

Unit cell a=3.1653 b=3.1653 c=30.2251 alpha=90.00 beta=90.00 gamma=120.00
Space group R-3m (No. 166, hexagonal axes)
Symmetry-distinct sites (fractional):
In  0.0000  0.0000  0.0000 [3 per cell]
Ge  0.0000  0.0000  0.0979 [6 per cell]
Au  0.0000  0.0000  0.5000 [3 per cell]

Calculated values
- N(E_F) (states/eV per cell) = 7.6
- energy of formation from the pure elements (eV/atom) = 0.17

***

A plane-wave DFT calculation with PBE-GGA was carried out for crystalline InGeAu3 at its relaxed geometry.

Unit cell a=4.972 b=4.972 c=4.972 alpha=90.00 beta=90.00 gamma=90.00
Space group Pm-3m (No. 221)
Symmetry-distinct sites (fractional):
In  0.000  0.000  0.000 [1 per cell]
Ge  0.500  0.500  0.500 [1 per cell]
Au  0.000  0.500  0.500 [3 per cell]

Calculated values
- N(E_F) (states/eV per cell) = 0.7
- excess energy over the best structure of this formula in the dataset (meV per atom) = 185
- energy of formation from the pure elements (eV/atom) = 0.15

***

A plane-wave DFT calculation with PBE-GGA was carried out for crystalline InGeAu at its relaxed geometry.

Unit cell a=4.265 b=5.201 c=6.866 alpha=86.65 beta=72.28 gamma=66.42
Space group P1 (No. 1)
Symmetry-distinct sites (fractional):
In  0.000  0.000  0.000 [1 per cell]
In  0.107  0.432  0.338 [1 per cell]
Ge  0.331  0.891  0.454 [1 per cell]
Ge  0.400  0.416  0.782 [1 per cell]
Au  0.655  0.589  0.082 [1 per cell]
Au  0.745  0.833  0.686 [1 per cell]

Calculated values
- N(E_F) (states/eV per cell) = 2.1
- energy of formation from the pure elements (eV/atom) = 0.01

***

A plane-wave DFT calculation with PBE-GGA was carried out for crystalline InGeAu at its relaxed geometry.

Unit cell a=4.077 b=3.933 c=8.287 alpha=90.00 beta=101.60 gamma=90.00
Space group Pm (No. 6)
Symmetry-distinct sites (fractional):
In  0.000  0.000  0.000 [1 per cell]
In  0.281  0.500  0.370 [1 per cell]
Ge  0.405  0.500  0.724 [1 per cell]
Ge  0.881  0.000  0.647 [1 per cell]
Au  0.515  0.500  0.050 [1 per cell]
Au  0.766  0.000  0.321 [1 per cell]

Calculated values
- N(E_F) (states/eV per cell) = 2.5
- energy of formation from the pure elements (eV/atom) = 0.01

***

A plane-wave DFT calculation with PBE-GGA was carried out for crystalline InGeAu5 at its relaxed geometry.

Unit cell a=8.699 b=7.033 c=9.730 alpha=90.00 beta=107.35 gamma=90.00
Space group C2/c (No. 15)
Symmetry-distinct sites (fractional):
In  0.250  0.250  0.000 [4 per cell]
Ge  0.000  0.184  0.250 [4 per cell]
Au  0.000  0.310  0.750 [4 per cell]
Au  0.106  0.349  0.499 [8 per cell]
Au  0.224  0.039  0.712 [8 per cell]

Calculated values
- N(E_F) (states/eV per cell) = 8.9
- energy of formation from the pure elements (eV/atom) = -0.02

***

A plane-wave DFT calculation with PBE-GGA was carried out for crystalline InGeAu at its relaxed geometry.

Unit cell a=3.593 b=5.621 c=6.673 alpha=90.00 beta=105.59 gamma=90.00
Space group P2_1 (No. 4)
Symmetry-distinct sites (fractional):
In  0.189  0.000  0.374 [2 per cell]
Ge  0.499  0.746  0.999 [2 per cell]
Au  0.134  0.501  0.268 [2 per cell]

Calculated values
- N(E_F) (states/eV per cell) = 2.3
- energy of formation from the pure elements (eV/atom) = -0.01

***

A plane-wave DFT calculation with PBE-GGA was carried out for crystalline InGeAu at its relaxed geometry.

Unit cell a=4.242 b=5.169 c=6.820 alpha=85.75 beta=72.36 gamma=67.54
Space group P-1 (No. 2)
Symmetry-distinct sites (fractional):
In  0.215  0.201  0.371 [2 per cell]
Ge  0.121  0.734  0.053 [2 per cell]
Au  0.433  0.386  0.713 [2 per cell]

Calculated values
- N(E_F) (states/eV per cell) = 2.1
- energy of formation from the pure elements (eV/atom) = -0.02

***

A plane-wave DFT calculation with PBE-GGA was carried out for crystalline InGeAu at its relaxed geometry.

Unit cell a=9.097 b=9.121 c=3.444 alpha=90.00 beta=111.99 gamma=90.00
Space group Cm (No. 8)
Symmetry-distinct sites (fractional):
In  0.000  0.000  0.000 [2 per cell]
In  0.177  0.500  0.173 [2 per cell]
Ge  0.371  0.143  0.364 [4 per cell]
Au  0.151  0.232  0.647 [4 per cell]

Calculated values
- N(E_F) (states/eV per cell) = 5.0
- energy of formation from the pure elements (eV/atom) = 0.01

***

A plane-wave DFT calculation with PBE-GGA was carried out for crystalline In2GeAu4 at its relaxed geometry.

Unit cell a=6.208 b=6.953 c=7.119 alpha=85.05 beta=89.61 gamma=85.43
Space group P-1 (No. 2)
Symmetry-distinct sites (fractional):
In  0.183  0.327  0.368 [2 per cell]
In  0.273  0.838  0.266 [2 per cell]
Ge  0.228  0.285  0.837 [2 per cell]
Au  0.105  0.680  0.951 [2 per cell]
Au  0.178  0.996  0.636 [2 per cell]
Au  0.321  0.589  0.607 [2 per cell]
Au  0.484  0.172  0.113 [2 per cell]

Calculated values
- N(E_F) (states/eV per cell) = 5.5
- excess energy over the best structure of this formula in the dataset (meV per atom) = 0
- energy of formation from the pure elements (eV/atom) = -0.09

***

A plane-wave DFT calculation with PBE-GGA was carried out for crystalline InGeAu at its relaxed geometry.

Unit cell a=4.519 b=5.779 c=5.892 alpha=104.98 beta=107.40 gamma=100.40
Space group P1 (No. 1)
Symmetry-distinct sites (fractional):
In  0.000  0.000  0.000 [1 per cell]
In  0.309  0.577  0.718 [1 per cell]
Ge  0.550  0.495  0.287 [1 per cell]
Ge  0.612  0.173  0.539 [1 per cell]
Au  0.032  0.916  0.481 [1 per cell]
Au  0.938  0.488  0.024 [1 per cell]

Calculated values
- N(E_F) (states/eV per cell) = 2.6
- energy of formation from the pure elements (eV/atom) = 0.04

***

A plane-wave DFT calculation with PBE-GGA was carried out for crystalline In2Ge2Au5 at its relaxed geometry.

Unit cell a=13.643 b=4.430 c=8.105 alpha=90.00 beta=125.27 gamma=90.00
Space group C2/m (No. 12)
Symmetry-distinct sites (fractional):
In  0.160  0.000  0.005 [4 per cell]
Ge  0.161  0.500  0.506 [4 per cell]
Au  0.000  0.500  0.000 [2 per cell]
Au  0.084  0.500  0.734 [4 per cell]
Au  0.100  0.000  0.295 [4 per cell]

Calculated values
- N(E_F) (states/eV per cell) = 6.6
- energy of formation from the pure elements (eV/atom) = -0.06

***

A plane-wave DFT calculation with PBE-GGA was carried out for crystalline InGe2Au at its relaxed geometry.

Unit cell a=4.105 b=4.105 c=20.451 alpha=90.00 beta=90.00 gamma=90.00
Space group I-42d (No. 122)
Symmetry-distinct sites (fractional):
In  0.000  0.000  0.000 [4 per cell]
Ge  0.210  0.250  0.625 [8 per cell]
Au  0.000  0.000  0.500 [4 per cell]

Calculated values
- N(E_F) (states/eV per cell) = 7.3
- energy of formation from the pure elements (eV/atom) = 0.11

***

A plane-wave DFT calculation with PBE-GGA was carried out for crystalline In2Ge2Au7 at its relaxed geometry.

Unit cell a=8.222 b=7.875 c=7.046 alpha=90.00 beta=100.68 gamma=90.00
Space group C2/m (No. 12)
Symmetry-distinct sites (fractional):
In  0.207  0.000  0.214 [4 per cell]
Ge  0.000  0.294  0.500 [4 per cell]
Au  0.000  0.500  0.000 [2 per cell]
Au  0.107  0.190  0.851 [8 per cell]
Au  0.212  0.500  0.382 [4 per cell]

Calculated values
- N(E_F) (states/eV per cell) = 6.2
- energy of formation from the pure elements (eV/atom) = -0.06

***

A plane-wave DFT calculation with PBE-GGA was carried out for crystalline InGeAu at its relaxed geometry.

Unit cell a=5.526 b=4.224 c=11.458 alpha=90.00 beta=90.00 gamma=90.00
Space group Pnma (No. 62)
Symmetry-distinct sites (fractional):
In  0.110  0.250  0.149 [4 per cell]
Ge  0.143  0.250  0.450 [4 per cell]
Au  0.017  0.250  0.687 [4 per cell]

Calculated values
- N(E_F) (states/eV per cell) = 3.9
- energy of formation from the pure elements (eV/atom) = 0.05

***

A plane-wave DFT calculation with PBE-GGA was carried out for crystalline InGeAu6 at its relaxed geometry.

Unit cell a=7.232 b=7.322 c=6.747 alpha=90.00 beta=121.77 gamma=90.00
Space group C2/m (No. 12)
Symmetry-distinct sites (fractional):
In  0.000  0.000  0.000 [2 per cell]
Ge  0.000  0.500  0.000 [2 per cell]
Au  0.119  0.266  0.749 [8 per cell]
Au  0.233  0.000  0.505 [4 per cell]

Calculated values
- N(E_F) (states/eV per cell) = 3.4
- excess energy over the best structure of this formula in the dataset (meV per atom) = 0
- energy of formation from the pure elements (eV/atom) = -0.04

***

A plane-wave DFT calculation with PBE-GGA was carried out for crystalline InGe3Au6 at its relaxed geometry.

Unit cell a=8.268 b=12.100 c=8.847 alpha=90.00 beta=90.00 gamma=90.00
Space group Cmc2_1 (No. 36)
Symmetry-distinct sites (fractional):
In  0.000  0.154  0.000 [4 per cell]
Ge  0.000  0.363  0.537 [4 per cell]
Ge  0.238  0.411  0.848 [8 per cell]
Au  0.000  0.081  0.502 [4 per cell]
Au  0.000  0.271  0.275 [4 per cell]
Au  0.170  0.225  0.727 [8 per cell]
Au  0.175  0.467  0.122 [8 per cell]

Calculated values
- N(E_F) (states/eV per cell) = 15.3
- energy of formation from the pure elements (eV/atom) = 0.04

***

A plane-wave DFT calculation with PBE-GGA was carried out for crystalline In2GeAu8 at its relaxed geometry.

Unit cell a=4.103 b=8.689 c=12.194 alpha=90.00 beta=90.00 gamma=90.00
Space group Immm (No. 71)
Symmetry-distinct sites (fractional):
In  0.000  0.000  0.148 [4 per cell]
Ge  0.000  0.000  0.500 [2 per cell]
Au  0.000  0.255  0.000 [4 per cell]
Au  0.000  0.258  0.336 [8 per cell]
Au  0.000  0.500  0.170 [4 per cell]

Calculated values
- N(E_F) (states/eV per cell) = 7.4
- energy of formation from the pure elements (eV/atom) = -0.06

***

A plane-wave DFT calculation with PBE-GGA was carried out for crystalline In2GeAu2 at its relaxed geometry.

Unit cell a=7.275 b=7.275 c=4.217 alpha=90.00 beta=90.00 gamma=90.00
Space group P4/mbm (No. 127)
Symmetry-distinct sites (fractional):
In  0.167  0.333  0.000 [4 per cell]
Ge  0.000  0.000  0.500 [2 per cell]
Au  0.140  0.640  0.500 [4 per cell]

Calculated values
- N(E_F) (states/eV per cell) = 4.3
- excess energy over the best structure of this formula in the dataset (meV per atom) = 0
- energy of formation from the pure elements (eV/atom) = 0.00

***

A plane-wave DFT calculation with PBE-GGA was carried out for crystalline InGeAu at its relaxed geometry.

Unit cell a=4.3720 b=4.3720 c=4.1027 alpha=90.00 beta=90.00 gamma=120.00
Space group P3m1 (No. 156)
Symmetry-distinct sites (fractional):
In  0.0000  0.0000  0.0000 [1 per cell]
Ge  0.6667  0.3333  0.4353 [1 per cell]
Au  0.3333  0.6667  0.6469 [1 per cell]

Calculated values
- N(E_F) (states/eV per cell) = 1.2
- energy of formation from the pure elements (eV/atom) = 0.02

***

A plane-wave DFT calculation with PBE-GGA was carried out for crystalline InGeAu at its relaxed geometry.

Unit cell a=4.287 b=5.227 c=6.675 alpha=76.97 beta=72.12 gamma=75.65
Space group P1 (No. 1)
Symmetry-distinct sites (fractional):
In  0.000  0.000  0.000 [1 per cell]
In  0.094  0.299  0.343 [1 per cell]
Ge  0.348  0.735  0.443 [1 per cell]
Ge  0.726  0.787  0.672 [1 per cell]
Au  0.545  0.290  0.734 [1 per cell]
Au  0.629  0.559  0.075 [1 per cell]

Calculated values
- N(E_F) (states/eV per cell) = 2.4
- energy of formation from the pure elements (eV/atom) = 0.03

***

A plane-wave DFT calculation with PBE-GGA was carried out for crystalline InGe2Au2 at its relaxed geometry.

Unit cell a=7.636 b=7.636 c=3.545 alpha=90.00 beta=90.00 gamma=90.00
Space group P4/mbm (No. 127)
Symmetry-distinct sites (fractional):
In  0.000  0.000  0.000 [2 per cell]
Ge  0.162  0.338  0.500 [4 per cell]
Au  0.138  0.638  0.000 [4 per cell]

Calculated values
- N(E_F) (states/eV per cell) = 3.7
- energy of formation from the pure elements (eV/atom) = 0.08

***

A plane-wave DFT calculation with PBE-GGA was carried out for crystalline InGe2Au2 at its relaxed geometry.

Unit cell a=8.320 b=8.320 c=3.007 alpha=90.00 beta=90.00 gamma=90.00
Space group P4/mbm (No. 127)
Symmetry-distinct sites (fractional):
In  0.000  0.000  0.000 [2 per cell]
Ge  0.136  0.364  0.000 [4 per cell]
Au  0.160  0.660  0.500 [4 per cell]

Calculated values
- N(E_F) (states/eV per cell) = 6.2
- energy of formation from the pure elements (eV/atom) = 0.11